# 1
# BeGaF

An optimized crystal structure of BeGaF (PBE-GGA, Alexandria via LeMat-Bulk).

energy relative to the lowest polymorph listed for this composition = 0.00 kcal/mol of atoms
crystal system = monoclinic
symmetry = No. 8
formation energy without anion corrections = -3.920 eV per formula unit

a = 14.6797 Å, b = 2.7504 Å, c = 4.0430 Å
α = 90.00°, β = 90.31°, γ = 90.00°
Closest atoms and distances in Å follow each position.
Atoms (fractional coordinates):
Be1 0.0000 0.0000 0.0000  1 F 1.59
Be2 0.1913 0.0000 0.2540  3 F 1.56-1.58
Be3 0.5000 0.5000 0.0000  1 F 1.59
Be4 0.6913 0.5000 0.2540  3 F 1.56-1.58
Ga1 0.3424 0.0000 0.9887  3 Be 2.47-2.69, 4 Ga 2.58-2.75
Ga2 0.4546 0.0000 0.4999  4 Be 2.53-2.54, 4 Ga 2.58-2.75
Ga3 0.8424 0.5000 0.9887  3 Be 2.47-2.69, 4 Ga 2.58-2.75
Ga4 0.9546 0.5000 0.4999  4 Be 2.53-2.54, 4 Ga 2.58-2.75
F1 0.1080 0.0000 0.0114  2 Be 1.56-1.59
F2 0.1887 0.5000 0.4449  2 Be 1.58
F3 0.6080 0.5000 0.0114  2 Be 1.56-1.59
F4 0.6887 0.0000 0.4449  2 Be 1.58

=====

# 2
# CoPtW3

An optimized crystal structure of CoPtW3 (PBE-GGA, Alexandria via LeMat-Bulk).

energy relative to the lowest polymorph listed for this composition = 0.00 kcal/mol of atoms
crystal system = cubic
symmetry = No. 221
formation energy = 1230.7 meV per atom

a = 4.4160 Å, b = 4.4160 Å, c = 4.4160 Å
α = 90.00°, β = 90.00°, γ = 90.00°
Closest atoms and distances in Å follow each position.
Atoms (fractional coordinates):
Co1 0.0000 0.0000 0.0000  6 W 2.21
Pt1 0.5000 0.5000 0.5000  12 W 3.12
W1 0.0000 0.0000 0.5000  2 Co 2.21
W2 0.0000 0.5000 0.0000  2 Co 2.21
W3 0.5000 0.0000 0.0000  2 Co 2.21

=====

# 3
# HfPa2P

An optimized crystal structure of HfPa2P (PBE-GGA, Alexandria via LeMat-Bulk).

crystal system = trigonal
symmetry = No. 166
formation energy = -43.3 meV per atom

a = 3.3582 Å, b = 3.3582 Å, c = 29.1458 Å
α = 90.00°, β = 90.00°, γ = 120.00°
Closest atoms and distances in Å follow each position.
Atoms (fractional coordinates):
Hf1 0.0000 0.0000 0.0000  2 Pa 2.93
Hf2 0.3333 0.6667 0.6667  2 Pa 2.93
Hf3 0.6667 0.3333 0.3333  2 Pa 2.93
Pa1 0.0000 0.0000 0.1006  3 P 2.73, 1 Hf 2.93
Pa2 0.0000 0.0000 0.8994  3 P 2.73, 1 Hf 2.93
Pa3 0.3333 0.6667 0.5661  3 P 2.73, 1 Hf 2.93
Pa4 0.3333 0.6667 0.7672  3 P 2.73, 1 Hf 2.93
Pa5 0.6667 0.3333 0.2328  3 P 2.73, 1 Hf 2.93
Pa6 0.6667 0.3333 0.4339  3 P 2.73, 1 Hf 2.93
P1 0.0000 0.0000 0.5000  6 Pa 2.73
P2 0.3333 0.6667 0.1667  6 Pa 2.73
P3 0.6667 0.3333 0.8333  6 Pa 2.73

=====

# 4
# Al2PdW

An optimized crystal structure of Al2PdW (PBE-GGA, Alexandria via LeMat-Bulk).

energy relative to the lowest polymorph listed for this composition = 14.24 kcal/mol of atoms
crystal system = tetragonal
symmetry = No. 122
formation energy = 228.3 meV per atom

a = 6.8251 Å, b = 6.8251 Å, c = 5.6627 Å
α = 90.00°, β = 90.00°, γ = 90.00°
Closest atoms and distances in Å follow each position.
Atoms (fractional coordinates):
Al1 0.2269 0.2500 0.1250  2 Pd 2.41, 2 W 2.62
Al2 0.2500 0.7269 0.3750  2 Pd 2.41, 2 W 2.62
Al3 0.2500 0.7731 0.8750  2 Pd 2.41, 2 W 2.62
Al4 0.2731 0.2500 0.6250  2 Pd 2.41, 2 W 2.62
Al5 0.7269 0.7500 0.6250  2 Pd 2.41, 2 W 2.62
Al6 0.7500 0.2269 0.8750  2 Pd 2.41, 2 W 2.62
Al7 0.7500 0.2731 0.3750  2 Pd 2.41, 2 W 2.62
Al8 0.7731 0.7500 0.1250  2 Pd 2.41, 2 W 2.62
Pd1 0.0000 0.0000 0.0000  4 Al 2.41
Pd2 0.0000 0.5000 0.2500  4 Al 2.41
Pd3 0.5000 0.0000 0.7500  4 Al 2.41
Pd4 0.5000 0.5000 0.5000  4 Al 2.41
W1 0.0000 0.0000 0.5000  4 Al 2.62, 2 Pd 2.83
W2 0.0000 0.5000 0.7500  4 Al 2.62, 2 Pd 2.83
W3 0.5000 0.0000 0.2500  4 Al 2.62, 2 Pd 2.83
W4 0.5000 0.5000 0.0000  4 Al 2.62, 2 Pd 2.83

=====

# 5
# Tc4Rh

An optimized crystal structure of Tc4Rh (PBE-GGA, Alexandria via LeMat-Bulk).

energy relative to the lowest polymorph listed for this composition = 48.36 kcal/mol of atoms
crystal system = cubic
symmetry = No. 221
formation energy = 2092.8 meV per atom

a = 4.5994 Å, b = 4.5994 Å, c = 4.5994 Å
α = 90.00°, β = 90.00°, γ = 90.00°
Closest atoms and distances in Å follow each position.
Atoms (fractional coordinates):
Tc1 0.0000 0.0000 0.0000  12 Tc 3.25
Tc2 0.0000 0.5000 0.5000  2 Rh 2.30
Tc3 0.5000 0.0000 0.5000  2 Rh 2.30
Tc4 0.5000 0.5000 0.0000  2 Rh 2.30
Rh1 0.5000 0.5000 0.5000  6 Tc 2.30

=====

# 6
# Zr3Ni

An optimized crystal structure of Zr3Ni (PBE-GGA, Alexandria via LeMat-Bulk).

crystal system = trigonal
symmetry = No. 166
formation energy = -10.0 meV per atom

a = 3.2303 Å, b = 3.2303 Å, c = 27.1666 Å
α = 90.00°, β = 90.00°, γ = 120.00°
Closest atoms and distances in Å follow each position.
Atoms (fractional coordinates):
Zr1 0.0000 0.0000 0.0000  12 Zr 3.18-3.23
Zr2 0.0000 0.0000 0.2383  3 Ni 2.70
Zr3 0.0000 0.0000 0.7617  3 Ni 2.70
Zr4 0.3333 0.6667 0.4283  3 Ni 2.70
Zr5 0.3333 0.6667 0.6667  12 Zr 3.18-3.23
Zr6 0.3333 0.6667 0.9050  3 Ni 2.70
Zr7 0.6667 0.3333 0.0950  3 Ni 2.70
Zr8 0.6667 0.3333 0.3333  12 Zr 3.18-3.23
Zr9 0.6667 0.3333 0.5717  3 Ni 2.70
Ni1 0.0000 0.0000 0.5000  6 Zr 2.70
Ni2 0.3333 0.6667 0.1667  6 Zr 2.70
Ni3 0.6667 0.3333 0.8333  6 Zr 2.70

=====

# 7
# PuTaGa5

An optimized crystal structure of PuTaGa5 (PBE-GGA, Alexandria via LeMat-Bulk).

crystal system = tetragonal
symmetry = No. 123
formation energy = 70.7 meV per atom

a = 5.1306 Å, b = 5.1306 Å, c = 5.4401 Å
α = 90.00°, β = 90.00°, γ = 90.00°
Closest atoms and distances in Å follow each position.
Atoms (fractional coordinates):
Pu1 0.0000 0.0000 0.0000  8 Ga 2.96
Ta1 0.5000 0.5000 0.5000  10 Ga 2.72-2.85
Ga1 0.0000 0.5000 0.2723  1 Ga 2.48
Ga2 0.0000 0.5000 0.7277  1 Ga 2.48
Ga3 0.5000 0.0000 0.2723  1 Ga 2.48
Ga4 0.5000 0.0000 0.7277  1 Ga 2.48
Ga5 0.5000 0.5000 0.0000  2 Ta 2.72, 8 Ga 2.96

=====

# 8
# PaZnAu

An optimized crystal structure of PaZnAu (PBE-GGA, Alexandria via LeMat-Bulk).

crystal system = cubic
symmetry = No. 216
formation energy = -98.4 meV per atom

a = 6.6032 Å, b = 6.6032 Å, c = 6.6032 Å
α = 90.00°, β = 90.00°, γ = 90.00°
Closest atoms and distances in Å follow each position.
Atoms (fractional coordinates):
Pa1 0.0000 0.0000 0.0000  4 Au 2.86
Pa2 0.0000 0.5000 0.5000  4 Au 2.86
Pa3 0.5000 0.0000 0.5000  4 Au 2.86
Pa4 0.5000 0.5000 0.0000  4 Au 2.86
Zn1 0.0000 0.0000 0.5000  4 Au 2.86
Zn2 0.0000 0.5000 0.0000  4 Au 2.86
Zn3 0.5000 0.0000 0.0000  4 Au 2.86
Zn4 0.5000 0.5000 0.5000  4 Au 2.86
Au1 0.2500 0.2500 0.7500  4 Pa 2.86, 4 Zn 2.86
Au2 0.2500 0.7500 0.2500  4 Pa 2.86, 4 Zn 2.86
Au3 0.7500 0.2500 0.2500  4 Pa 2.86, 4 Zn 2.86
Au4 0.7500 0.7500 0.7500  4 Pa 2.86, 4 Zn 2.86

=====

# 9
# CeSmAs

An optimized crystal structure of CeSmAs (PBE-GGA, Alexandria via LeMat-Bulk).

crystal system = cubic
symmetry = No. 216
formation energy = -715.9 meV per atom

a = 7.0026 Å, b = 7.0026 Å, c = 7.0026 Å
α = 90.00°, β = 90.00°, γ = 90.00°
Closest atoms and distances in Å follow each position.
Atoms (fractional coordinates):
Ce1 0.0000 0.0000 0.0000  4 As 3.03
Ce2 0.0000 0.5000 0.5000  4 As 3.03
Ce3 0.5000 0.0000 0.5000  4 As 3.03
Ce4 0.5000 0.5000 0.0000  4 As 3.03
Sm1 0.0000 0.0000 0.5000  4 As 3.03
Sm2 0.0000 0.5000 0.0000  4 As 3.03
Sm3 0.5000 0.0000 0.0000  4 As 3.03
Sm4 0.5000 0.5000 0.5000  4 As 3.03
As1 0.2500 0.2500 0.7500  4 Ce 3.03, 4 Sm 3.03
As2 0.2500 0.7500 0.2500  4 Ce 3.03, 4 Sm 3.03
As3 0.7500 0.2500 0.2500  4 Ce 3.03, 4 Sm 3.03
As4 0.7500 0.7500 0.7500  4 Sm 3.03, 4 Ce 3.03

=====

# 10
# CaMgCr2

An optimized crystal structure of CaMgCr2 (PBE-GGA, Alexandria via LeMat-Bulk).

crystal system = cubic
symmetry = No. 216
formation energy = 506.3 meV per atom

a = 6.9330 Å, b = 6.9330 Å, c = 6.9330 Å
α = 90.00°, β = 90.00°, γ = 90.00°
Closest atoms and distances in Å follow each position.
Atoms (fractional coordinates):
Ca1 0.0000 0.0000 0.0000  4 Cr 3.00, 4 Mg 3.00
Ca2 0.0000 0.5000 0.5000  4 Cr 3.00, 4 Mg 3.00
Ca3 0.5000 0.0000 0.5000  4 Cr 3.00, 4 Mg 3.00
Ca4 0.5000 0.5000 0.0000  4 Cr 3.00, 4 Mg 3.00
Mg1 0.2500 0.2500 0.2500  4 Cr 3.00, 4 Ca 3.00
Mg2 0.2500 0.7500 0.7500  4 Cr 3.00, 4 Ca 3.00
Mg3 0.7500 0.2500 0.7500  4 Cr 3.00, 4 Ca 3.00
Mg4 0.7500 0.7500 0.2500  4 Cr 3.00, 4 Ca 3.00
Cr1 0.0000 0.0000 0.5000  4 Mg 3.00, 4 Cr 3.00
Cr2 0.0000 0.5000 0.0000  4 Mg 3.00, 4 Cr 3.00
Cr3 0.2500 0.2500 0.7500  4 Cr 3.00, 4 Ca 3.00
Cr4 0.2500 0.7500 0.2500  4 Cr 3.00, 4 Ca 3.00
Cr5 0.5000 0.0000 0.0000  4 Mg 3.00, 4 Cr 3.00
Cr6 0.5000 0.5000 0.5000  4 Cr 3.00, 4 Mg 3.00
Cr7 0.7500 0.2500 0.2500  4 Cr 3.00, 4 Ca 3.00
Cr8 0.7500 0.7500 0.7500  4 Ca 3.00, 4 Cr 3.00

=====

# 11
# AsP2Rh

An optimized crystal structure of AsP2Rh (PBE-GGA, Alexandria via LeMat-Bulk).

crystal system = orthorhombic
symmetry = No. 65
formation energy = 300.3 meV per atom

a = 5.5485 Å, b = 6.8939 Å, c = 3.1545 Å
α = 90.00°, β = 90.00°, γ = 90.00°
Closest atoms and distances in Å follow each position.
Atoms (fractional coordinates):
As1 0.0000 0.0000 0.0000  8 P 2.72, 2 Rh 2.77
As2 0.5000 0.5000 0.0000  8 P 2.72, 2 Rh 2.77
P1 0.2500 0.2500 0.5000  4 As 2.72, 4 Rh 2.72, 2 P 2.77
P2 0.2500 0.7500 0.5000  4 As 2.72, 4 Rh 2.72, 2 P 2.77
P3 0.7500 0.2500 0.5000  4 As 2.72, 4 Rh 2.72, 2 P 2.77
P4 0.7500 0.7500 0.5000  4 As 2.72, 4 Rh 2.72, 2 P 2.77
Rh1 0.0000 0.5000 0.0000  8 P 2.72, 2 As 2.77
Rh2 0.5000 0.0000 0.0000  8 P 2.72, 2 As 2.77

=====

# 12
# BAsPC

An optimized crystal structure of BAsPC (PBE-GGA, Alexandria via LeMat-Bulk).

energy relative to the lowest polymorph listed for this composition = 1.01 kcal/mol of atoms
crystal system = trigonal
symmetry = No. 156
formation energy = 312.2 meV per atom

a = 3.1798 Å, b = 3.1798 Å, c = 5.4973 Å
α = 90.00°, β = 90.00°, γ = 120.00°
Closest atoms and distances in Å follow each position.
Atoms (fractional coordinates):
B1 0.0000 0.0000 0.0000  1 C 1.61
As1 0.3333 0.6667 0.4557  3 C 2.04
P1 0.6667 0.3333 0.8667  3 B 1.98
C1 0.0000 0.0000 0.2931  1 B 1.61

=====

# 13
# Rb2LiTcO4

An optimized crystal structure of Rb2LiTcO4 (PBE-GGA, Alexandria via LeMat-Bulk).

crystal system = orthorhombic
symmetry = No. 70
formation energy without anion corrections = -12.253 eV per formula unit

a = 11.5956 Å, b = 10.0231 Å, c = 6.9041 Å
α = 84.33°, β = 59.33°, γ = 36.33°
Closest atoms and distances in Å follow each position.
Atoms (fractional coordinates):
Rb1 0.0469 0.0469 0.7031  4 O 2.95-3.24
Rb2 0.2969 0.2969 0.9531  4 O 2.95-3.24
Rb3 0.7031 0.7031 0.0469  4 O 2.95-3.24
Rb4 0.9531 0.9531 0.2969  4 O 2.95-3.24
Li1 0.1250 0.1250 0.1250  4 O 1.93
Li2 0.8750 0.8750 0.8750  4 O 1.93
Tc1 0.3750 0.3750 0.3750  4 O 1.84
Tc2 0.6250 0.6250 0.6250  4 O 1.84
O1 0.0115 0.6712 0.5520  1 Tc 1.84, 1 Li 1.93
O2 0.2653 0.5520 0.6712  1 Tc 1.84, 1 Li 1.93
O3 0.3288 0.9885 0.7347  1 Tc 1.84, 1 Li 1.93
O4 0.4480 0.7347 0.9885  1 Tc 1.84, 1 Li 1.93
O5 0.5520 0.2653 0.0115  1 Tc 1.84, 1 Li 1.93
O6 0.6712 0.0115 0.2653  1 Tc 1.84, 1 Li 1.93
O7 0.7347 0.4480 0.3288  1 Tc 1.84, 1 Li 1.93
O8 0.9885 0.3288 0.4480  1 Tc 1.84, 1 Li 1.93

=====

Computed total magnetization, in the same sequence as the records: 0.00; 0.00; 0.00; 0.00; 2.62; 0.00; 5.78; 0.00; 1.37; 0.39; 0.00; 0.00; 0.00 μB/f.u..
Computed calculated density, in the same sequence as the records: 4.0; 15.5; 11.8; 8.7; 8.4; 6.7; 9.0; 11.4; 7.1; 3.4; 6.6; 4.4; 3.5 g cm⁻³.
Computed total energy, in the same sequence as the records: -4.181; -9.171; -8.632; -6.180; -7.670; -7.866; -5.832; -4.781; -5.817; -5.204; -5.405; -6.178; -5.788 eV per atom.